The following is a DFT calculation (PBE with a Hubbard U) of Mn5O3F5 after structural relaxation.

## Properties
E above lowest polymorph	0.000	eV per formula unit
SG	Cc (9)

The structure in POSCAR format:
```
Mn5O3F5
1.0
-3.845 4.975 -1.056
-8.798 -6.844 -0.287
-3.987 1.854 4.617
Mn O F
10 6 10
Direct
0.038 0.682 0.395
0.977 0.992 0.969
0.812 0.444 0.382
0.569 0.689 0.381
0.075 0.695 0.891
0.577 0.182 0.356
0.461 0.492 0.985
0.326 0.944 0.368
0.086 0.195 0.379
0.569 0.189 0.880
0.666 0.065 0.126
0.148 0.575 0.126
0.410 0.294 0.141
0.934 0.794 0.117
0.200 0.075 0.573
0.691 0.565 0.601
0.196 0.060 0.109
0.669 0.560 0.136
0.924 0.309 0.616
0.426 0.809 0.614
0.940 0.302 0.183
0.394 0.798 0.195
0.744 0.094 0.587
0.181 0.594 0.651
0.494 0.298 0.596
0.985 0.802 0.639
```